A relaxed structure of CrC2F, computed with GGA+U.

* energy: -72.55 eV/cell

a b c (Å): 5.2475 5.2475 5.2475
angles (deg): 90.00 90.00 90.00
With the nearest neighbours (Å) after each atom.
Space group Fm-3m (No. 225)
Asymmetric unit:
Cr1 0.0000 0.0000 0.0000 (multiplicity 4)  8 C 2.27
C1 0.2500 0.2500 0.2500 (multiplicity 8)  4 Cr 2.27, 4 F 2.27
F1 0.0000 0.0000 0.5000 (multiplicity 4)  8 C 2.27